This record from the Open Quantum Materials Database describes a relaxed structure of Sc3Ga4Pt2. The functional is PBE.

a b c (Å): 5.360 5.360 8.280
angles (deg): 115.17 115.17 48.53
Atoms (fractional coordinates):
Sc  0.000  0.000  0.000
Sc  0.337  0.337  0.329
Sc  0.663  0.663  0.671
Ga  0.089  0.089  0.421
Ga  0.310  0.310  0.977
Ga  0.690  0.690  0.023
Ga  0.911  0.911  0.579
Pt  0.390  0.390  0.725
Pt  0.610  0.610  0.275

Calculated values
M_tot = 0.0 Bohr magnetons per cell
Calculated total energy = -51.42 eV per cell
SG = C2/m (12)

=====

This record from the Open Quantum Materials Database describes a relaxed structure of CsTcF6. The functional is PBE.

a b c (Å): 5.804 5.804 5.804
angles (deg): 55.04 55.04 55.04
Atoms (fractional coordinates):
Cs  0.000  0.000  0.000
Tc  0.500  0.500  0.500
F  0.092  0.593  0.593
F  0.407  0.407  0.908
F  0.407  0.908  0.407
F  0.593  0.092  0.593
F  0.593  0.593  0.092
F  0.908  0.407  0.407

Calculated values
M_tot = 2.0 Bohr magnetons per cell
Calculated total energy = -40.69 eV per cell
SG = R-3m (166)

=====

This record from the Open Quantum Materials Database describes a relaxed structure of SmCdCo. The functional is PBE.

a b c (Å): 4.745 4.745 4.745
angles (deg): 60.00 60.00 60.00
Atoms (fractional coordinates):
Sm  0.000  0.000  0.000
Cd  0.750  0.750  0.750
Co  0.250  0.250  0.250

Calculated values
M_tot = 0.3 Bohr magnetons per cell
Energy of formation = 0.673 eV/atom
SG = F-43m (216)

=====

This record from the Open Quantum Materials Database describes a relaxed structure of GdHoSn2Pt4. The functional is PBE.

a b c (Å): 4.565 4.565 9.106
angles (deg): 90.00 90.00 120.00
Atoms (fractional coordinates):
Gd  0.000  0.000  0.000
Ho  0.333  0.667  0.500
Sn  0.667  0.333  0.251
Sn  0.667  0.333  0.749
Pt  0.000  0.000  0.342
Pt  0.000  0.000  0.658
Pt  0.333  0.667  0.162
Pt  0.333  0.667  0.838

Calculated values
M_tot = 0.0 Bohr magnetons per cell
Calculated total energy = -49.51 eV per cell
SG = P-6m2 (187)

=====

This record from the Open Quantum Materials Database describes a relaxed structure of NbZnCoW. The functional is PBE.

a b c (Å): 4.393 4.393 4.393
angles (deg): 60.00 60.00 60.00
Atoms (fractional coordinates):
Nb  0.000  0.000  0.000
Zn  0.250  0.250  0.250
Co  0.500  0.500  0.500
W  0.750  0.750  0.750

Calculated values
M_tot = 1.8 Bohr magnetons per cell
Excess energy over the best structure of this formula in the dataset = 0 meV/atom
Energy of formation = 0.331 eV/atom
SG = F-43m (216)

=====

This record from the Open Quantum Materials Database describes a relaxed structure of NaTbCoS3. The functional is PBE.

a b c (Å): 8.047 3.847 9.034
angles (deg): 90.00 103.09 90.00
Atoms (fractional coordinates):
Na  0.179  0.250  0.187
Na  0.821  0.750  0.813
Tb  0.331  0.750  0.847
Tb  0.669  0.250  0.153
Co  0.079  0.250  0.583
Co  0.921  0.750  0.417
S  0.090  0.250  0.840
S  0.190  0.750  0.528
S  0.428  0.750  0.157
S  0.572  0.250  0.843
S  0.810  0.250  0.472
S  0.910  0.750  0.160

Calculated values
M_tot = 2.8 Bohr magnetons per cell
Excess energy over the best structure of this formula in the dataset = 0 meV/atom
SG = P2_1/m (11)